(1)
CrNi2Ru | PBE | relaxed Values from VASP.

```
&SYSTEM
  ibrav = 0, nat = 4, ntyp = 3
/
ATOMIC_SPECIES
Ru 101.07 Ru.upf
Ni 58.69 Ni.upf
Cr 52.00 Cr.upf
CELL_PARAMETERS angstrom
-4.191 0.525 -1.512
0.240 -3.092 3.241
-0.408 1.816 1.762
ATOMIC_POSITIONS crystal
Ru 0.500 0.000 0.500
Ni 0.000 0.000 0.000
Cr 0.000 0.500 0.500
Ni 0.500 0.500 0.000
```

## Properties
- mass density (g/cm3) = 9.4
- energy of formation from the pure elements (eV/atom) = 0.10
- total energy (eV/atom) = -7.516


(2)
Pr4Ho5Pu | PBE | relaxed Values from VASP.

```
&SYSTEM
  ibrav = 0, nat = 20, ntyp = 3
/
ATOMIC_SPECIES
Pr 140.91 Pr.upf
Pu 244.00 Pu.upf
Ho 164.93 Ho.upf
CELL_PARAMETERS angstrom
5.733 0.000 0.000
0.000 11.551 0.000
0.000 0.000 10.249
ATOMIC_POSITIONS crystal
Pr 0.750 0.000 0.288
Pu 0.750 0.500 0.500
Pr 0.750 0.000 0.712
Ho 0.750 0.309 0.307
Pr 0.250 0.500 0.212
Ho 0.750 0.500 0.000
Pu 0.250 0.000 0.000
Ho 0.250 0.191 0.807
Ho 0.750 0.691 0.693
Ho 0.250 0.191 0.193
Ho 0.250 0.809 0.807
Pr 0.750 0.815 0.000
Pr 0.250 0.685 0.500
Pr 0.250 0.500 0.788
Pr 0.250 0.315 0.500
Pr 0.750 0.185 0.000
Ho 0.750 0.691 0.307
Ho 0.250 0.000 0.500
Ho 0.250 0.809 0.193
Ho 0.750 0.309 0.693
```

## Properties
- mass density (g/cm3) = 8.0
- energy of formation from the pure elements (eV/atom) = 0.25
- total energy (eV/atom) = -5.381


(3)
SrPb5 | PBE | relaxed Values from VASP.

```
&SYSTEM
  ibrav = 0, nat = 6, ntyp = 2
/
ATOMIC_SPECIES
Pb 207.20 Pb.upf
Sr 87.62 Sr.upf
CELL_PARAMETERS angstrom
-3.600 -6.853 1.365
3.935 5.811 3.540
-4.424 2.490 0.832
ATOMIC_POSITIONS crystal
Pb 0.804 0.196 0.500
Sr 0.972 0.028 0.000
Pb 0.645 0.355 0.000
Pb 0.472 0.528 0.500
Pb 0.299 0.701 0.000
Pb 0.140 0.860 0.500
```

## Properties
- offset from the most stable computed form (meV/atom) = 2.2
- mass density (g/cm3) = 9.7
- energy of formation from the pure elements (eV/atom) = -0.19
- total energy (eV/atom) = -3.564


(4)
NdSn3Ir2 | PBE | relaxed Values from VASP.

```
&SYSTEM
  ibrav = 0, nat = 18, ntyp = 3
/
ATOMIC_SPECIES
Sn 118.71 Sn.upf
Ir 192.22 Ir.upf
Nd 144.24 Nd.upf
CELL_PARAMETERS angstrom
-3.541 1.886 1.784
-2.982 -8.158 -2.696
4.171 -1.485 9.850
ATOMIC_POSITIONS crystal
Sn 0.224 0.448 0.381
Sn 0.776 0.552 0.619
Ir 0.640 0.280 0.440
Ir 0.483 0.966 0.223
Sn 0.662 0.324 0.936
Sn 0.500 0.000 0.500
Ir 0.517 0.034 0.777
Sn 0.338 0.676 0.064
Sn 0.044 0.087 0.347
Sn 0.956 0.913 0.653
Nd 0.847 0.694 0.300
Ir 0.199 0.398 0.117
Sn 0.371 0.743 0.816
Ir 0.360 0.720 0.560
Nd 0.153 0.306 0.700
Sn 0.629 0.257 0.184
Ir 0.801 0.602 0.883
Nd 0.000 0.000 0.000
```

## Properties
- mass density (g/cm3) = 11.0
- energy of formation from the pure elements (eV/atom) = -0.43
- total energy (eV/atom) = -6.177


(5)
Ac2Dy15Y2 | PBE | relaxed Values from VASP.

```
&SYSTEM
  ibrav = 0, nat = 19, ntyp = 3
/
ATOMIC_SPECIES
Dy 162.50 Dy.upf
Y 88.91 Y.upf
Ac 227.00 Ac.upf
CELL_PARAMETERS angstrom
6.702 -5.651 -0.606
6.702 5.651 -0.606
2.747 0.000 8.347
ATOMIC_POSITIONS crystal
Dy 0.692 0.308 0.000
Dy 0.629 0.156 0.629
Dy 0.308 0.692 0.000
Dy 0.844 0.371 0.371
Y 0.670 0.670 0.670
Dy 0.371 0.371 0.844
Ac 0.112 0.112 0.112
Dy 0.371 0.844 0.371
Y 0.330 0.330 0.330
Dy 0.308 0.000 0.692
Dy 0.156 0.629 0.629
Dy 0.000 0.308 0.692
Dy 0.000 0.500 0.000
Ac 0.888 0.888 0.888
Dy 0.692 0.000 0.308
Dy 0.000 0.000 0.500
Dy 0.000 0.692 0.308
Dy 0.500 0.000 0.000
Dy 0.629 0.629 0.156
```

## Properties
- mass density (g/cm3) = 7.8
- energy of formation from the pure elements (eV/atom) = 0.29
- total energy (eV/atom) = -4.461


(6)
BeCdAs2 | PBE | relaxed Values from VASP.

```
&SYSTEM
  ibrav = 0, nat = 8, ntyp = 3
/
ATOMIC_SPECIES
Cd 112.41 Cd.upf
Be 9.01 Be.upf
As 74.92 As.upf
CELL_PARAMETERS angstrom
5.109 0.000 0.000
0.000 5.109 0.000
2.554 2.554 6.633
ATOMIC_POSITIONS crystal
Cd 0.000 0.000 0.000
Be 0.500 0.500 0.000
As 0.227 0.625 0.250
As 0.875 0.773 0.750
As 0.375 0.477 0.750
Cd 0.750 0.250 0.500
As 0.523 0.125 0.250
Be 0.250 0.750 0.500
```

## Properties
- offset from the most stable computed form (meV/atom) = 0.0
- mass density (g/cm3) = 5.2
- energy of formation from the pure elements (eV/atom) = 0.06
- total energy (eV/atom) = -3.421